Record 1
VASP calculation (PBE) on a relaxed Sc2Ni3Ru crystal.

Formation energy, eV per atom: -0.474
Magnetization, μB/atom: 0.00
Space group: C2/m (12)

abc: 4.890 4.890 5.058
angles: 89.83 118.96 120.14
Fractional positions:
1 Ni 0.500 0.500 0.500
2 Ni 0.500 0.000 0.500
3 Ni 0.000 0.000 0.500
4 Ru 0.000 0.000 0.000
5 Sc 0.248 0.624 0.872
6 Sc 0.752 0.376 0.128

Record 2
VASP calculation (PBE) on a relaxed KTlCrMo2 crystal.

Formation energy, eV per atom: 2.936
Magnetization, μB/atom: 0.00
Space group: P4/mmm (123)

abc: 4.659 4.302 4.659
angles: 90.00 90.00 90.00
Fractional positions:
1 Cr 0.000 0.500 0.000
2 Tl 0.500 0.500 0.500
3 K 0.000 0.000 0.000
4 Mo 0.000 0.000 0.500
5 Mo 0.500 0.000 0.000

Record 3
VASP calculation (PBE) on a relaxed La3EuCl crystal.

Magnetization, μB/atom: 1.46
Formation energy from raw total energies, eV per atom: -0.559
Space group: Pm-3m (221)

abc: 5.641 5.641 5.641
angles: 90.00 90.00 90.00
Site moments in Bohr magnetons follow the coordinates.
Fractional positions:
1 Eu 0.500 0.500 0.500  6.88
2 La 0.000 0.500 0.000  0.01
3 La 0.000 0.000 0.500  0.01
4 La 0.500 0.000 0.000  0.01
5 Cl 0.000 0.000 0.000  0.00

Record 4
VASP calculation (PBE) on a relaxed Zn2H2Os crystal.

Raw total energy, eV per atom: -3.839
Magnetization, μB/atom: 0.00
Space group: P4/mbm (127)

abc: 5.331 5.331 3.817
angles: 90.00 90.00 90.00
Fractional positions:
1 Zn 0.249 0.251 0.500
2 Zn 0.749 0.249 0.500
3 Zn 0.751 0.749 0.500
4 Zn 0.251 0.751 0.500
5 H 0.251 0.751 0.000
6 H 0.249 0.251 0.000
7 H 0.749 0.249 0.000
8 H 0.751 0.749 0.000
9 Os 0.500 0.500 0.000
10 Os 0.000 0.000 0.000

Record 5
VASP calculation (PBE) on a relaxed SrCa2Cr crystal.

Formation energy, eV per atom: 0.416
Energy above the lowest structure with this stoichiometry, kcal/mol of atoms: 1.175
Magnetization, μB/atom: 1.13
Space group: Cm (8)

abc: 6.852 6.852 5.955
angles: 64.24 64.24 35.92
Site moments in Bohr magnetons follow the coordinates.
Fractional positions:
1 Cr 0.492 0.492 0.511  3.95
2 Ca 0.003 0.003 0.996  -0.01
3 Ca 0.788 0.788 0.711  -0.01
4 Sr 0.217 0.217 0.282  -0.02

Record 6
VASP calculation (PBE) on a relaxed Y2VPbSe crystal.

Magnetization, μB/atom: 0.00
Formation energy from raw total energies, eV per atom: 0.120
Space group: P4/mmm (123)

abc: 5.280 5.053 5.280
angles: 90.00 90.00 90.00
Fractional positions:
1 V 0.000 0.000 0.000
2 Y 0.500 0.000 0.000
3 Y 0.000 0.000 0.500
4 Pb 0.000 0.500 0.000
5 Se 0.500 0.500 0.500

Record 7
VASP calculation (PBE) on a relaxed ZnO crystal.

Magnetization, μB/atom: 0.00
Formation energy from raw total energies, eV per atom: -1.365
Space group: P6_3/m (176)

abc: 7.839 7.839 3.371
angles: 90.00 90.00 120.00
Fractional positions:
1 O 0.080 0.674 0.250
2 O 0.326 0.405 0.250
3 O 0.674 0.595 0.750
4 O 0.405 0.080 0.750
5 O 0.920 0.326 0.750
6 O 0.595 0.920 0.250
7 Zn 0.404 0.326 0.750
8 Zn 0.326 0.921 0.250
9 Zn 0.079 0.404 0.250
10 Zn 0.921 0.596 0.750
11 Zn 0.596 0.674 0.250
12 Zn 0.674 0.079 0.750

Record 8
VASP calculation (PBE) on a relaxed MgTlPt2 crystal.

Formation energy, eV per atom: -0.229
Magnetization, μB/atom: 0.00
Space group: F-43m (216)

abc: 4.657 4.657 4.657
angles: 60.00 60.00 60.00
Fractional positions:
1 Tl 0.750 0.750 0.750
2 Mg 0.500 0.500 0.500
3 Pt 0.000 0.000 0.000
4 Pt 0.250 0.250 0.250

Record 9
VASP calculation (PBE) on a relaxed Tb6PmNd2Dy3 crystal.

Formation energy, eV per atom: 0.015
Magnetization, μB/atom: 0.00
Space group: C2/m (12)

abc: 6.208 6.208 11.868
angles: 94.98 94.98 119.98
Fractional positions:
1 Tb 0.915 0.582 0.747
2 Tb 0.582 0.915 0.747
3 Tb 0.248 0.248 0.747
4 Tb 0.418 0.085 0.253
5 Tb 0.752 0.752 0.253
6 Tb 0.085 0.418 0.253
7 Dy 0.833 0.167 0.500
8 Dy 0.500 0.500 0.500
9 Dy 0.167 0.833 0.500
10 Nd 0.667 0.333 0.000
11 Nd 0.333 0.667 0.000
12 Pm 0.000 0.000 0.000

Record 10
VASP calculation (PBE) on a relaxed Th2ZrCu6 crystal.

Formation energy, eV per atom: -0.145
Magnetization, μB/atom: 0.00
Space group: P6/mmm (191)

abc: 3.300 7.561 7.561
angles: 60.00 89.99 89.99
Fractional positions:
1 Zr 0.000 0.000 0.000
2 Cu 0.499 0.674 0.000
3 Cu 0.501 0.326 0.000
4 Cu 0.501 0.000 0.326
5 Cu 0.499 0.000 0.674
6 Cu 0.500 0.674 0.326
7 Cu 0.500 0.326 0.674
8 Th 0.000 0.333 0.333
9 Th 0.000 0.667 0.667

Record 11
VASP calculation (PBE) on a relaxed Na3AcTm2O6 crystal.

Magnetization, μB/atom: 0.00
Formation energy from raw total energies, eV per atom: -2.715
Space group: C2/m (12)

abc: 3.476 6.891 7.943
angles: 101.54 102.64 90.00
Fractional positions:
1 Na 0.500 0.500 0.000
2 Na 0.179 0.838 0.358
3 Na 0.821 0.162 0.642
4 O 0.319 0.434 0.638
5 O 0.979 0.739 0.959
6 O 0.021 0.261 0.041
7 O 0.335 0.877 0.671
8 O 0.665 0.123 0.329
9 O 0.681 0.566 0.362
10 Tm 0.170 0.347 0.340
11 Tm 0.830 0.653 0.660
12 Ac 0.500 0.000 0.000

Record 12
VASP calculation (PBE) on a relaxed CsTl5In2Hg crystal.

Formation energy, eV per atom: 0.146
Magnetization, μB/atom: 0.00
Space group: P4/mmm (123)

abc: 5.357 5.357 12.837
angles: 90.00 90.00 90.00
Fractional positions:
1 Tl 0.000 0.000 0.500
2 Tl 0.000 0.500 0.855
3 Tl 0.000 0.500 0.145
4 Tl 0.500 0.000 0.145
5 Tl 0.500 0.000 0.855
6 Hg 0.000 0.000 0.000
7 In 0.000 0.000 0.274
8 In 0.000 0.000 0.726
9 Cs 0.500 0.500 0.500

Record 13
VASP calculation (PBE) on a relaxed ReHgO4 crystal.

Energy above the lowest structure with this stoichiometry, kcal/mol of atoms: 3.618
Magnetization, μB/atom: 0.00
Formation energy from raw total energies, eV per atom: -1.144
Space group: Pmn2_1 (31)

abc: 5.542 5.660 7.382
angles: 90.00 90.00 90.00
Fractional positions:
1 Hg 0.916 0.494 0.500
2 Hg 0.084 0.994 0.000
3 O 0.679 0.218 0.000
4 O 0.321 0.718 0.500
5 O 0.678 0.087 0.500
6 O 0.232 0.151 0.695
7 O 0.768 0.651 0.805
8 O 0.768 0.651 0.195
9 O 0.322 0.587 0.000
10 O 0.232 0.151 0.305
11 Re 0.368 0.026 0.500
12 Re 0.632 0.526 0.000

Record 14
VASP calculation (PBE) on a relaxed Ta2NiOs crystal.

Formation energy, eV per atom: 0.049
Energy above the lowest structure with this stoichiometry, kcal/mol of atoms: 6.903
Magnetization, μB/atom: 0.00
Space group: Cmm2 (35)

abc: 2.782 2.782 8.144
angles: 90.00 90.00 100.42
Fractional positions:
1 Ni 0.000 0.000 0.513
2 Os 0.500 0.500 0.728
3 Ta 0.500 0.500 0.272
4 Ta 0.000 0.000 0.986

Record 15
VASP calculation (PBE) on a relaxed LiOs2Se crystal.

Magnetization, μB/atom: 0.00
Formation energy from raw total energies, eV per atom: 0.502
Space group: F-43m (216)

abc: 4.352 4.352 4.352
angles: 60.00 60.00 60.00
Fractional positions:
1 Os 0.000 0.000 0.000
2 Os 0.250 0.250 0.250
3 Se 0.750 0.750 0.750
4 Li 0.500 0.500 0.500

Record 16
VASP calculation (PBE) on a relaxed LiMgNb crystal.

Formation energy, eV per atom: 0.583
Energy above the lowest structure with this stoichiometry, kcal/mol of atoms: 9.651
Magnetization, μB/atom: 0.00
Space group: P-6m2 (187)

abc: 5.034 5.034 2.629
angles: 90.00 90.00 120.00
Fractional positions:
1 Mg 0.000 0.000 0.000
2 Li 0.667 0.333 0.500
3 Nb 0.333 0.667 0.000

Record 17
VASP calculation (PBE) on a relaxed LaTm3 crystal.

Formation energy, eV per atom: 0.108
Magnetization, μB/atom: 0.00
Space group: Fm-3m (225)

abc: 5.671 5.671 5.671
angles: 60.00 60.00 60.00
Fractional positions:
1 La 0.500 0.500 0.500
2 Tm 0.000 0.000 0.000
3 Tm 0.750 0.750 0.750
4 Tm 0.250 0.250 0.250

Record 18
VASP calculation (PBE) on a relaxed BaPaGa2Ge2 crystal.

Formation energy, eV per atom: -0.396
Magnetization, μB/atom: 0.12
Space group: P-3m1 (164)

abc: 4.240 4.240 9.475
angles: 90.00 90.00 120.00
Site moments in Bohr magnetons follow the coordinates.
Fractional positions:
1 Ge 0.667 0.333 0.755  -0.01
2 Ge 0.333 0.667 0.245  -0.01
3 Ga 0.667 0.333 0.317  0.01
4 Ga 0.333 0.667 0.683  0.01
5 Ba 0.000 0.000 0.000  0.01
6 Pa 0.000 0.000 0.500  0.60

Record 19
VASP calculation (PBE) on a relaxed SrZrSb crystal.

Energy above the lowest structure with this stoichiometry, kcal/mol of atoms: 13.547
Magnetization, μB/atom: 0.69
Formation energy from raw total energies, eV per atom: -0.142
Space group: F-43m (216)

abc: 5.165 5.165 5.165
angles: 60.00 60.00 60.00
Site moments in Bohr magnetons follow the coordinates.
Fractional positions:
1 Zr 0.500 0.500 0.500  1.13
2 Sr 0.000 0.000 0.000  0.11
3 Sb 0.750 0.750 0.750  -0.05

Record 20
VASP calculation (PBE) on a relaxed NaNdMgPb crystal.

Formation energy, eV per atom: -0.198
Magnetization, μB/atom: 0.00
Space group: F-43m (216)

abc: 5.446 5.446 5.446
angles: 60.00 60.00 60.00
Fractional positions:
1 Nd 0.500 0.500 0.500
2 Na 0.000 0.000 0.000
3 Pb 0.750 0.750 0.750
4 Mg 0.250 0.250 0.250